<1>
{"formula": "TiTe2Rh", "functional": "PBE-GGA", "state": "relaxed", "sg": "I-42d", "cell": [[6.076, 0.000, 0.000], [0.000, 6.076, 0.000], [0.000, 0.000, 12.189]], "species": ["Ti", "Ti", "Ti", "Ti", "Te", "Te", "Te", "Te", "Te", "Te", "Te", "Te", "Rh", "Rh", "Rh", "Rh"], "frac_coords": [[0.000, 0.000, 0.000], [0.000, 0.500, 0.250], [0.500, 0.000, 0.750], [0.500, 0.500, 0.500], [0.238, 0.250, 0.625], [0.250, 0.738, 0.875], [0.250, 0.762, 0.375], [0.262, 0.250, 0.125], [0.738, 0.750, 0.125], [0.750, 0.238, 0.375], [0.750, 0.262, 0.875], [0.762, 0.750, 0.625], [0.000, 0.000, 0.500], [0.000, 0.500, 0.750], [0.500, 0.000, 0.250], [0.500, 0.500, 0.000]]}

<2>
{"formula": "TiTe2Rh", "functional": "PBE-GGA", "state": "relaxed", "sg": "R3m", "cell": [[3.834, 0.000, 0.000], [-1.917, 3.321, 0.000], [0.000, 0.000, 20.239]], "species": ["Ti", "Ti", "Ti", "Te", "Te", "Te", "Te", "Te", "Te", "Rh", "Rh", "Rh"], "frac_coords": [[0.000, 0.000, 0.000], [0.333, 0.667, 0.667], [0.667, 0.333, 0.333], [0.000, 0.000, 0.575], [0.000, 0.000, 0.749], [0.333, 0.667, 0.242], [0.333, 0.667, 0.416], [0.667, 0.333, 0.083], [0.667, 0.333, 0.909], [0.000, 0.000, 0.154], [0.333, 0.667, 0.821], [0.667, 0.333, 0.488]]}

<3>
{"formula": "TiTe2Rh", "functional": "PBE-GGA", "state": "relaxed", "sg": "R-3m", "cell": [[3.732, 0.000, 0.000], [-1.866, 3.232, 0.000], [0.000, 0.000, 25.734]], "species": ["Ti", "Ti", "Ti", "Te", "Te", "Te", "Te", "Te", "Te", "Rh", "Rh", "Rh"], "frac_coords": [[0.000, 0.000, 0.000], [0.333, 0.667, 0.667], [0.667, 0.333, 0.333], [0.000, 0.000, 0.106], [0.000, 0.000, 0.894], [0.333, 0.667, 0.561], [0.333, 0.667, 0.773], [0.667, 0.333, 0.227], [0.667, 0.333, 0.439], [0.000, 0.000, 0.500], [0.333, 0.667, 0.167], [0.667, 0.333, 0.833]]}

Which of them is most stable, and which least? Most stable: <2>; least stable: <3>.

<1>
{"formula": "TiTeRh3", "functional": "PBE-GGA", "state": "relaxed", "sg": "Pm-3m", "cell": [[4.599, 0.000, 0.000], [0.000, 4.599, 0.000], [0.000, 0.000, 4.599]], "species": ["Ti", "Te", "Rh", "Rh", "Rh"], "frac_coords": [[0.000, 0.000, 0.000], [0.500, 0.500, 0.500], [0.000, 0.000, 0.500], [0.000, 0.500, 0.000], [0.500, 0.000, 0.000]]}

<2>
{"formula": "TiTeRh3", "functional": "PBE-GGA", "state": "relaxed", "sg": "Pm-3m", "cell": [[4.770, 0.000, 0.000], [0.000, 4.770, 0.000], [0.000, 0.000, 4.770]], "species": ["Ti", "Te", "Rh", "Rh", "Rh"], "frac_coords": [[0.000, 0.000, 0.000], [0.500, 0.500, 0.500], [0.000, 0.500, 0.500], [0.500, 0.000, 0.500], [0.500, 0.500, 0.000]]}

Which of them is most stable, and which least? Most stable: <1>; least stable: <2>.

<1>
{"formula": "TiTe3Rh", "functional": "PBE-GGA", "state": "relaxed", "sg": "Amm2", "cell": [[4.014, 0.000, 0.000], [0.000, 9.042, 0.000], [0.000, 0.000, 6.818]], "species": ["Ti", "Ti", "Te", "Te", "Te", "Te", "Te", "Te", "Rh", "Rh"], "frac_coords": [[0.000, 0.000, 0.000], [0.000, 0.500, 0.500], [0.000, 0.190, 0.321], [0.000, 0.310, 0.821], [0.000, 0.690, 0.821], [0.000, 0.810, 0.321], [0.500, 0.000, 0.736], [0.500, 0.500, 0.236], [0.500, 0.000, 0.342], [0.500, 0.500, 0.842]]}

<2>
{"formula": "TiTe3Rh", "functional": "PBE-GGA", "state": "relaxed", "sg": "Pm-3m", "cell": [[5.213, 0.000, 0.000], [0.000, 5.213, 0.000], [0.000, 0.000, 5.213]], "species": ["Ti", "Te", "Te", "Te", "Rh"], "frac_coords": [[0.000, 0.000, 0.000], [0.000, 0.000, 0.500], [0.000, 0.500, 0.000], [0.500, 0.000, 0.000], [0.500, 0.500, 0.500]]}

Which of them is most stable, and which least? Most stable: <1>; least stable: <2>.